Record 1
Material: La6CeHg5
Method: DFT, GGA-PBE
State: optimized geometry

Electronic total energy = -3.450 eV/atom
V = 729 Å³ per cell
Crystal system = orthorhombic
Formation enthalpy at 0 K = -0.37 eV per atom

Lattice parameters (Å, degrees): 5.536 16.702 7.888 90.00 90.00 90.00
Space group Cmmm (No. 65)
Asymmetric unit:
La  0.000  0.000  0.231
La  0.000  0.329  0.253
Ce  0.000  0.500  0.500
Hg  0.000  0.153  0.500
Hg  0.000  0.168  0.000
Hg  0.000  0.500  0.000

---

Record 2
Material: ZnMo2Se
Method: DFT, GGA-PBE
State: optimized geometry

Offset from the most stable computed form = 190 meV/atom
Electronic total energy = -6.315 eV/atom
V = 128 Å³ per cell
Crystal system = monoclinic
Uncorrected formation energy = 0.29 eV per atom

Lattice parameters (Å, degrees): 8.929 3.125 4.639 90.00 98.84 90.00
Space group C2/m (No. 12)
Asymmetric unit:
Zn  0.000  0.000  0.000
Mo  0.250  0.000  0.749
Se  0.000  0.500  0.500

---

Record 3
Material: TbTmGa4
Method: DFT, GGA-PBE
State: optimized geometry

Offset from the most stable computed form = 3 meV/atom
Electronic total energy = -4.156 eV/atom
V = 242 Å³ per cell
Crystal system = orthorhombic
Formation enthalpy at 0 K = -0.62 eV per atom

Lattice parameters (Å, degrees): 4.246 6.949 8.209 90.00 90.00 90.00
Space group Imm2 (No. 44)
Asymmetric unit:
Tb  0.000  0.000  0.000
Tm  0.000  0.500  0.879
Ga  0.000  0.197  0.602
Ga  0.000  0.299  0.280

---

Record 4
Material: YMnSi2Ru
Method: DFT, GGA-PBE
State: optimized geometry

Electronic total energy = -7.925 eV/atom
V = 164 Å³ per cell
Crystal system = tetragonal
Uncorrected formation energy = -0.77 eV per atom

Lattice parameters (Å, degrees): 3.994 3.994 10.261 90.00 90.00 90.00
Space group I-4m2 (No. 119)
Asymmetric unit:
Y  0.000  0.000  0.000
Mn  0.000  0.500  0.250
Si  0.000  0.000  0.380
Ru  0.000  0.500  0.750

---

Record 5
Material: PrZrTl
Method: DFT, GGA-PBE
State: optimized geometry

Offset from the most stable computed form = 227 meV/atom
Electronic total energy = -5.170 eV/atom
V = 85 Å³ per cell
Crystal system = hexagonal
Formation enthalpy at 0 K = 0.06 eV per atom

Lattice parameters (Å, degrees): 5.2340 5.2340 3.5670 90.00 90.00 120.00
Space group P-6m2 (No. 187)
Asymmetric unit:
Pr  0.0000  0.0000  0.0000
Zr  0.3333  0.6667  0.5000
Tl  0.6667  0.3333  0.5000

---

Record 6
Material: BaLi2Te
Method: DFT, GGA-PBE
State: optimized geometry

Electronic total energy = -2.879 eV/atom
V = 322 Å³ per cell
Crystal system = monoclinic
Uncorrected formation energy = -0.66 eV per atom

Lattice parameters (Å, degrees): 14.624 4.834 4.825 90.00 109.16 90.00
Space group C2/m (No. 12)
Asymmetric unit:
Ba  0.000  0.000  0.000
Li  0.198  0.500  0.698
Te  0.000  0.500  0.500

---

Record 7
Material: UAl2Ge2
Method: DFT, GGA-PBE
State: optimized geometry

Electronic total energy = -5.214 eV/atom
V = 222 Å³ per cell
Crystal system = hexagonal
Formation enthalpy at 0 K = 0.39 eV per atom

Lattice parameters (Å, degrees): 4.6548 4.6548 11.8347 90.00 90.00 120.00
Space group P6_3/mmc (No. 194)
Asymmetric unit:
U  0.0000  0.0000  0.2500
Al  0.0000  0.0000  0.0000
Al  0.3333  0.6667  0.2500
Ge  0.3333  0.6667  0.6245

---

Record 8
Material: Rb2YAuCl6
Method: DFT, GGA-PBE
State: optimized geometry

Offset from the most stable computed form = 0 meV/atom
Electronic total energy = -3.984 eV/atom
V = 697 Å³ per cell
Crystal system = monoclinic
Uncorrected formation energy = -1.71 eV per atom

Lattice parameters (Å, degrees): 6.746 7.294 14.942 90.00 108.64 90.00
Space group P2_1/c (No. 14)
Asymmetric unit:
Rb  0.222  0.030  0.205
Y  0.000  0.000  0.500
Au  0.500  0.000  0.000
Cl  0.154  0.676  0.885
Cl  0.196  0.175  0.973
Cl  0.309  0.603  0.148

---

Record 9
Material: HfAs2SeCl
Method: DFT, GGA-PBE
State: optimized geometry

Offset from the most stable computed form = 0 meV/atom
Electronic total energy = -4.901 eV/atom
V = 137 Å³ per cell
Crystal system = tetragonal
Uncorrected formation energy = 0.02 eV per atom

Lattice parameters (Å, degrees): 5.220 5.220 5.042 90.00 90.00 90.00
Space group P4/mmm (No. 123)
Asymmetric unit:
Hf  0.000  0.000  0.000
As  0.000  0.500  0.000
Se  0.000  0.000  0.500
Cl  0.500  0.500  0.500

---

Record 10
Material: RbGePb2O4
Method: DFT, GGA-PBE
State: optimized geometry

Electronic total energy = -5.411 eV/atom
V = 600 Å³ per cell
Crystal system = orthorhombic
Uncorrected formation energy = -1.31 eV per atom

Lattice parameters (Å, degrees): 9.243 9.255 7.011 90.00 90.00 90.00
Space group Fmm2 (No. 42)
Asymmetric unit:
Rb  0.000  0.000  0.000
Ge  0.000  0.000  0.500
Pb  0.250  0.250  0.251
O  0.000  0.159  0.648
O  0.159  0.000  0.351

---

Record 11
Material: BaZn2ReN4
Method: DFT, GGA-PBE
State: optimized geometry

Electronic total energy = -6.470 eV/atom
V = 240 Å³ per cell
Crystal system = tetragonal
Uncorrected formation energy = -0.19 eV per atom

Lattice parameters (Å, degrees): 5.579 5.579 7.701 90.00 90.00 90.00
Space group I-42m (No. 121)
Asymmetric unit:
Ba  0.000  0.000  0.000
Zn  0.000  0.500  0.250
Re  0.000  0.000  0.500
N  0.187  0.187  0.647

---

Record 12
Material: RbNaSr2Ir
Method: DFT, GGA-PBE
State: optimized geometry

Electronic total energy = -2.789 eV/atom
V = 212 Å³ per cell
Crystal system = tetragonal
Formation enthalpy at 0 K = 0.11 eV per atom

Lattice parameters (Å, degrees): 5.874 5.874 6.146 90.00 90.00 90.00
Space group P4/mmm (No. 123)
Asymmetric unit:
Rb  0.000  0.000  0.000
Na  0.500  0.500  0.000
Sr  0.000  0.500  0.500
Ir  0.500  0.500  0.500

---

Record 13
Material: Ho4TmOs2
Method: DFT, GGA-PBE
State: optimized geometry

Electronic total energy = -6.655 eV/atom
V = 353 Å³ per cell
Crystal system = monoclinic
Formation enthalpy at 0 K = -0.19 eV per atom

Lattice parameters (Å, degrees): 7.784 6.226 7.854 90.00 112.14 90.00
Space group P2_1/m (No. 11)
Asymmetric unit:
Ho  0.121  0.250  0.480
Ho  0.174  0.750  0.252
Ho  0.261  0.502  0.919
Tm  0.471  0.250  0.341
Os  0.086  0.250  0.123
Os  0.475  0.250  0.752

---

Record 14
Material: Tl2FeRh
Method: DFT, GGA-PBE
State: optimized geometry

Offset from the most stable computed form = 88 meV/atom
Electronic total energy = -4.784 eV/atom
V = 156 Å³ per cell
Crystal system = orthorhombic
Formation enthalpy at 0 K = 0.35 eV per atom

Lattice parameters (Å, degrees): 4.314 3.451 10.484 90.00 90.00 90.00
Space group Amm2 (No. 38)
Asymmetric unit:
Tl  0.000  0.000  0.000
Tl  0.500  0.000  0.317
Fe  0.500  0.000  0.592
Rh  0.000  0.000  0.720

---

Record 15
Material: BeIn2GaPt
Method: DFT, GGA-PBE
State: optimized geometry

Electronic total energy = -3.496 eV/atom
V = 103 Å³ per cell
Crystal system = tetragonal
Formation enthalpy at 0 K = 0.16 eV per atom

Lattice parameters (Å, degrees): 4.866 4.866 4.335 90.00 90.00 90.00
Space group P4/mmm (No. 123)
Asymmetric unit:
Be  0.000  0.000  0.000
In  0.000  0.500  0.000
Ga  0.500  0.500  0.500
Pt  0.000  0.000  0.500

---

Record 16
Material: NaY2Hg9
Method: DFT, GGA-PBE
State: optimized geometry

Electronic total energy = -1.697 eV/atom
V = 295 Å³ per cell
Crystal system = tetragonal
Formation enthalpy at 0 K = -0.28 eV per atom

Lattice parameters (Å, degrees): 4.603 4.603 13.945 90.00 90.00 90.00
Space group P4/mmm (No. 123)
Asymmetric unit:
Na  0.000  0.000  0.000
Y  0.000  0.000  0.330
Hg  0.000  0.500  0.168
Hg  0.000  0.500  0.500
Hg  0.500  0.500  0.000
Hg  0.500  0.500  0.336

---

Record 17
Material: CaAcGeSb
Method: DFT, GGA-PBE
State: optimized geometry

Electronic total energy = -4.352 eV/atom
V = 478 Å³ per cell
Crystal system = cubic
Uncorrected formation energy = -0.64 eV per atom

Lattice parameters (Å, degrees): 7.819 7.819 7.819 90.00 90.00 90.00
Space group F-43m (No. 216)
Asymmetric unit:
Ca  0.000  0.000  0.000
Ac  0.000  0.000  0.500
Ge  0.250  0.250  0.750
Sb  0.250  0.250  0.250

---

Record 18
Material: CaScAl
Method: DFT, GGA-PBE
State: optimized geometry

Offset from the most stable computed form = 970 meV/atom
Electronic total energy = -3.237 eV/atom
V = 252 Å³ per cell
Crystal system = hexagonal
Formation enthalpy at 0 K = 0.79 eV per atom

Lattice parameters (Å, degrees): 5.1820 5.1820 10.8537 90.00 90.00 120.00
Space group P6_3/mmc (No. 194)
Asymmetric unit:
Ca  0.3333  0.6667  0.2500
Sc  0.0000  0.0000  0.0000
Al  0.0000  0.0000  0.2500

---

Record 19
Material: Tb6TlFe2
Method: DFT, GGA-PBE
State: optimized geometry

Electronic total energy = -5.353 eV/atom
V = 935 Å³ per cell
Crystal system = orthorhombic
Formation enthalpy at 0 K = -0.12 eV per atom

Lattice parameters (Å, degrees): 9.516 9.756 10.067 90.00 90.00 90.00
Space group Immm (No. 71)
Asymmetric unit:
Tb  0.000  0.216  0.227
Tb  0.202  0.500  0.188
Tb  0.209  0.311  0.500
Tl  0.000  0.000  0.000
Tl  0.000  0.000  0.500
Fe  0.000  0.388  0.000
Fe  0.000  0.500  0.392

---

Record 20
Material: Hf5ZnGa
Method: DFT, GGA-PBE
State: optimized geometry

Electronic total energy = -7.608 eV/atom
V = 617 Å³ per cell
Crystal system = monoclinic
Formation enthalpy at 0 K = 0.12 eV per atom

Lattice parameters (Å, degrees): 7.425 12.046 6.942 90.00 96.65 90.00
Space group C2/c (No. 15)
Asymmetric unit:
Hf  0.000  0.189  0.250
Hf  0.113  0.346  0.578
Hf  0.199  0.160  0.858
Zn  0.000  0.000  0.000
Ga  0.000  0.466  0.250